Computed, not measured: MgFeRh2 after structural relaxation at the GGA-PBE level of DFT.

Geometry as CIF:
```
data_MgFeRh2
_space_group_name_H-M_alt 'R -3 m'
_space_group_IT_number 166
_space_group_name_Hall '-R 3 2"'
_cell_length_a 2.8157
_cell_length_b 2.8157
_cell_length_c 25.3894
_cell_angle_alpha 90.00
_cell_angle_beta 90.00
_cell_angle_gamma 120.00
loop_
_atom_site_label
_atom_site_fract_x
_atom_site_fract_y
_atom_site_fract_z
Mg1 0.0000 0.0000 0.0000
Fe1 0.0000 0.0000 0.5000
Rh1 0.0000 0.0000 0.2468
```

Energy relative to the elements (eV per atom): -0.1171
Raw total energy (eV per atom): -6.307


Computed, not measured: MgFeRh2 after structural relaxation at the GGA-PBE level of DFT.

Geometry as CIF:
```
data_MgFeRh2
_space_group_name_H-M_alt 'C 1 m 1'
_space_group_IT_number 8
_cell_length_a 9.522
_cell_length_b 2.883
_cell_length_c 4.455
_cell_angle_alpha 90.00
_cell_angle_beta 110.08
_cell_angle_gamma 90.00
loop_
_space_group_symop_operation_xyz
'x,y,z'
'x,-y,z'
'x+1/2,y+1/2,z'
'x+1/2,-y+1/2,z'
loop_
_atom_site_label
_atom_site_fract_x
_atom_site_fract_y
_atom_site_fract_z
Mg1 0.000 0.000 0.000
Fe1 0.239 0.000 0.629
Rh1 0.251 0.500 0.138
Rh2 0.498 0.000 0.507
```

Energy relative to the elements (eV per atom): -0.1708
Raw total energy (eV per atom): -6.361


Computed, not measured: Mg2FeRh9 after structural relaxation at the GGA-PBE level of DFT.

Geometry as CIF:
```
data_Mg2FeRh9
_space_group_name_H-M_alt 'P 4/m m m'
_space_group_IT_number 123
_space_group_name_Hall '-P 4 2'
_cell_length_a 4.520
_cell_length_b 4.520
_cell_length_c 8.536
_cell_angle_alpha 90.00
_cell_angle_beta 90.00
_cell_angle_gamma 90.00
loop_
_atom_site_label
_atom_site_fract_x
_atom_site_fract_y
_atom_site_fract_z
Mg1 0.000 0.000 0.169
Fe1 0.000 0.000 0.500
Rh1 0.000 0.500 0.000
Rh2 0.000 0.500 0.338
Rh3 0.500 0.500 0.166
Rh4 0.500 0.500 0.500
```

Energy relative to the elements (eV per atom): -0.0433
Raw total energy (eV per atom): -6.528


Computed, not measured: MgFe2Rh2 after structural relaxation at the GGA-PBE level of DFT.

Geometry as CIF:
```
data_MgFe2Rh2
_space_group_name_H-M_alt 'P 4/m b m'
_space_group_IT_number 127
_space_group_name_Hall '-P 4 2ab'
_cell_length_a 7.216
_cell_length_b 7.216
_cell_length_c 2.870
_cell_angle_alpha 90.00
_cell_angle_beta 90.00
_cell_angle_gamma 90.00
loop_
_atom_site_label
_atom_site_fract_x
_atom_site_fract_y
_atom_site_fract_z
Mg1 0.000 0.000 0.000
Fe1 0.156 0.344 0.500
Rh1 0.140 0.640 0.000
```

Relative energy among the computed polymorphs (kJ/mol of formula units): 0
Energy relative to the elements (eV per atom): -0.0318
Raw total energy (eV per atom): -6.676


Computed, not measured: MgFe2Rh after structural relaxation at the GGA-PBE level of DFT.

Geometry as CIF:
```
data_MgFe2Rh
_space_group_name_H-M_alt 'R 3 m'
_space_group_IT_number 160
_space_group_name_Hall 'R 3 -2"'
_cell_length_a 2.8020
_cell_length_b 2.8020
_cell_length_c 24.9665
_cell_angle_alpha 90.00
_cell_angle_beta 90.00
_cell_angle_gamma 120.00
loop_
_atom_site_label
_atom_site_fract_x
_atom_site_fract_y
_atom_site_fract_z
Mg1 0.0000 0.0000 0.0000
Fe1 0.0000 0.0000 0.2417
Fe2 0.0000 0.0000 0.5025
Rh1 0.0000 0.0000 0.7541
```

Energy relative to the elements (eV per atom): 0.0959
Raw total energy (eV per atom): -6.372


Computed, not measured: MgFeRh2 after structural relaxation at the GGA-PBE level of DFT.

Geometry as CIF:
```
data_MgFeRh2
_space_group_name_H-M_alt 'P 4 m m'
_space_group_IT_number 99
_cell_length_a 2.772
_cell_length_b 2.772
_cell_length_c 7.552
_cell_angle_alpha 90.00
_cell_angle_beta 90.00
_cell_angle_gamma 90.00
loop_
_space_group_symop_operation_xyz
'x,y,z'
'-y,x,z'
'-x,-y,z'
'y,-x,z'
'-x,y,z'
'y,x,z'
'x,-y,z'
'-y,-x,z'
loop_
_atom_site_label
_atom_site_fract_x
_atom_site_fract_y
_atom_site_fract_z
Mg1 0.000 0.000 0.000
Fe1 0.500 0.500 0.731
Rh1 0.000 0.000 0.505
Rh2 0.500 0.500 0.257
```

Energy relative to the elements (eV per atom): -0.0100
Raw total energy (eV per atom): -6.200


Computed, not measured: MgFe2Rh after structural relaxation at the GGA-PBE level of DFT.

Geometry as CIF:
```
data_MgFe2Rh
_space_group_name_H-M_alt 'C 1 2/m 1'
_space_group_IT_number 12
_cell_length_a 5.089
_cell_length_b 8.720
_cell_length_c 2.680
_cell_angle_alpha 90.00
_cell_angle_beta 111.86
_cell_angle_gamma 90.00
loop_
_space_group_symop_operation_xyz
'x,y,z'
'-x,-y,-z'
'-x,y,-z'
'x,-y,z'
'x+1/2,y+1/2,z'
'-x+1/2,-y+1/2,-z'
'-x+1/2,y+1/2,-z'
'x+1/2,-y+1/2,z'
loop_
_atom_site_label
_atom_site_fract_x
_atom_site_fract_y
_atom_site_fract_z
Mg1 0.000 0.000 0.000
Fe1 0.250 0.250 0.500
Rh1 0.000 0.500 0.000
```

Energy relative to the elements (eV per atom): 0.0559
Raw total energy (eV per atom): -6.412


Computed, not measured: MgFe2Rh after structural relaxation at the GGA-PBE level of DFT.

Geometry as CIF:
```
data_MgFe2Rh
_space_group_name_H-M_alt 'I 4/m m m'
_space_group_IT_number 139
_space_group_name_Hall '-I 4 2'
_cell_length_a 3.696
_cell_length_b 3.696
_cell_length_c 8.118
_cell_angle_alpha 90.00
_cell_angle_beta 90.00
_cell_angle_gamma 90.00
loop_
_atom_site_label
_atom_site_fract_x
_atom_site_fract_y
_atom_site_fract_z
Mg1 0.000 0.000 0.000
Fe1 0.000 0.500 0.250
Rh1 0.000 0.000 0.500
```

Energy relative to the elements (eV per atom): 0.0369
Raw total energy (eV per atom): -6.431


Computed, not measured: MgFe2Rh after structural relaxation at the GGA-PBE level of DFT.

Geometry as CIF:
```
data_MgFe2Rh
_space_group_name_H-M_alt 'F -4 3 m'
_space_group_IT_number 216
_space_group_name_Hall 'F -4 2 3'
_cell_length_a 6.029
_cell_length_b 6.029
_cell_length_c 6.029
_cell_angle_alpha 90.00
_cell_angle_beta 90.00
_cell_angle_gamma 90.00
loop_
_atom_site_label
_atom_site_fract_x
_atom_site_fract_y
_atom_site_fract_z
Mg1 0.000 0.000 0.000
Fe1 0.000 0.000 0.500
Fe2 0.250 0.250 0.250
Rh1 0.250 0.250 0.750
```

Energy relative to the elements (eV per atom): -0.0195
Raw total energy (eV per atom): -6.487


Computed, not measured: Mg3FeRh4 after structural relaxation at the GGA-PBE level of DFT.

Geometry as CIF:
```
data_Mg3FeRh4
_space_group_name_H-M_alt 'P m m m'
_space_group_IT_number 47
_cell_length_a 3.098
_cell_length_b 4.360
_cell_length_c 8.700
_cell_angle_alpha 90.00
_cell_angle_beta 90.00
_cell_angle_gamma 90.00
loop_
_space_group_symop_operation_xyz
'x,y,z'
'-x,-y,-z'
'-x,-y,z'
'x,y,-z'
'x,-y,-z'
'-x,y,z'
'-x,y,-z'
'x,-y,z'
loop_
_atom_site_label
_atom_site_fract_x
_atom_site_fract_y
_atom_site_fract_z
Mg1 0.000 0.000 0.000
Mg2 0.000 0.500 0.250
Fe1 0.000 0.000 0.500
Rh1 0.500 0.000 0.265
Rh2 0.500 0.500 0.000
Rh3 0.500 0.500 0.500
```

Energy relative to the elements (eV per atom): -0.3852
Raw total energy (eV per atom): -5.717


Computed, not measured: MgFe2Rh3 after structural relaxation at the GGA-PBE level of DFT.

Geometry as CIF:
```
data_MgFe2Rh3
_space_group_name_H-M_alt 'P 4/m m m'
_space_group_IT_number 123
_space_group_name_Hall '-P 4 2'
_cell_length_a 3.031
_cell_length_b 3.031
_cell_length_c 9.250
_cell_angle_alpha 90.00
_cell_angle_beta 90.00
_cell_angle_gamma 90.00
loop_
_atom_site_label
_atom_site_fract_x
_atom_site_fract_y
_atom_site_fract_z
Mg1 0.000 0.000 0.000
Fe1 0.000 0.000 0.335
Rh1 0.500 0.500 0.182
Rh2 0.500 0.500 0.500
```

Energy relative to the elements (eV per atom): -0.2330
Raw total energy (eV per atom): -6.995


Computed, not measured: MgFeRh2 after structural relaxation at the GGA-PBE level of DFT.

Geometry as CIF:
```
data_MgFeRh2
_space_group_name_H-M_alt 'I m m m'
_space_group_IT_number 71
_space_group_name_Hall '-I 2 2'
_cell_length_a 3.052
_cell_length_b 4.579
_cell_length_c 8.361
_cell_angle_alpha 90.00
_cell_angle_beta 90.00
_cell_angle_gamma 90.00
loop_
_atom_site_label
_atom_site_fract_x
_atom_site_fract_y
_atom_site_fract_z
Mg1 0.000 0.000 0.000
Fe1 0.000 0.000 0.500
Rh1 0.000 0.500 0.237
```

Energy relative to the elements (eV per atom): -0.0998
Raw total energy (eV per atom): -6.290